[1]
Computed, not measured: a relaxed Li7V4P6O24 crystal at the GGA+U level of DFT.

Output
- E_tot: -288.0 eV per cell
- DOS at the Fermi energy: 4.6 states/eV/cell
- M_tot: 0.22 μB/atom
- Symmetry: R3, No. 146

Unit cell a=9.090 b=9.090 c=9.090 alpha=55.75 beta=55.75 gamma=55.75
Atoms (fractional coordinates):
Li  0.000  0.000  0.000
Li  0.114  0.380  0.758
Li  0.280  0.867  0.612
Li  0.380  0.758  0.114
Li  0.612  0.280  0.867
Li  0.758  0.114  0.380
Li  0.867  0.612  0.280
V  0.180  0.180  0.180
V  0.384  0.384  0.384
V  0.690  0.690  0.690
V  0.886  0.886  0.886
P  0.080  0.789  0.486
P  0.293  0.577  0.994
P  0.486  0.080  0.789
P  0.577  0.994  0.293
P  0.789  0.486  0.080
P  0.994  0.293  0.577
O  0.031  0.245  0.420
O  0.074  0.840  0.624
O  0.165  0.781  0.900
O  0.173  0.912  0.276
O  0.183  0.259  0.574
O  0.204  0.575  0.518
O  0.245  0.420  0.031
O  0.259  0.574  0.183
O  0.276  0.173  0.912
O  0.420  0.031  0.245
O  0.506  0.543  0.858
O  0.513  0.874  0.837
O  0.518  0.204  0.575
O  0.543  0.858  0.506
O  0.574  0.183  0.259
O  0.575  0.518  0.204
O  0.624  0.074  0.840
O  0.781  0.900  0.165
O  0.837  0.513  0.874
O  0.840  0.624  0.074
O  0.858  0.506  0.543
O  0.874  0.837  0.513
O  0.900  0.165  0.781
O  0.912  0.276  0.173

---

[2]
Computed, not measured: a relaxed Li4VP2O9 crystal at the GGA+U level of DFT.

Output
- E_tot: -426.3 eV per cell
- DOS at the Fermi energy: 0.0 states/eV/cell
- M_tot: 0.06 μB/atom
- Symmetry: Pna2_1, No. 33

Unit cell a=15.903 b=5.536 c=8.609 alpha=90.00 beta=90.00 gamma=90.00
Atoms (fractional coordinates):
Li  0.062  0.216  0.000
Li  0.120  0.837  0.157
Li  0.138  0.653  0.418
Li  0.191  0.186  0.560
Li  0.309  0.686  0.060
Li  0.362  0.153  0.918
Li  0.380  0.337  0.657
Li  0.438  0.716  0.500
Li  0.562  0.284  0.000
Li  0.620  0.663  0.157
Li  0.638  0.847  0.418
Li  0.691  0.314  0.560
Li  0.809  0.814  0.060
Li  0.862  0.347  0.918
Li  0.880  0.163  0.657
Li  0.938  0.784  0.500
V  0.120  0.658  0.791
V  0.380  0.158  0.291
V  0.620  0.842  0.791
V  0.880  0.342  0.291
P  0.030  0.162  0.369
P  0.229  0.324  0.204
P  0.271  0.824  0.704
P  0.470  0.662  0.869
P  0.530  0.338  0.369
P  0.729  0.176  0.204
P  0.771  0.676  0.704
P  0.970  0.838  0.869
O  0.005  0.741  0.708
O  0.055  0.896  0.359
O  0.059  0.823  0.961
O  0.094  0.327  0.447
O  0.119  0.359  0.805
O  0.165  0.156  0.132
O  0.183  0.804  0.611
O  0.203  0.592  0.208
O  0.236  0.741  0.868
O  0.264  0.241  0.368
O  0.297  0.092  0.708
O  0.317  0.304  0.111
O  0.335  0.656  0.632
O  0.381  0.859  0.305
O  0.406  0.827  0.947
O  0.441  0.323  0.461
O  0.445  0.396  0.859
O  0.495  0.241  0.208
O  0.505  0.759  0.708
O  0.555  0.604  0.359
O  0.559  0.677  0.961
O  0.594  0.173  0.447
O  0.619  0.141  0.805
O  0.665  0.344  0.132
O  0.683  0.696  0.611
O  0.703  0.908  0.208
O  0.736  0.759  0.868
O  0.764  0.259  0.368
O  0.797  0.408  0.708
O  0.817  0.196  0.111
O  0.835  0.844  0.632
O  0.881  0.641  0.305
O  0.906  0.673  0.947
O  0.941  0.177  0.461
O  0.945  0.104  0.859
O  0.995  0.259  0.208

---

[3]
Computed, not measured: a relaxed LiVPO5 crystal at the GGA+U level of DFT.

Output
- E_tot: -227.2 eV per cell
- M_tot: 0.12 μB/atom
- Symmetry: Pnma, No. 62

Unit cell a=7.762 b=5.992 c=7.792 alpha=90.00 beta=90.00 gamma=90.00
Atoms (fractional coordinates):
Li  0.133  0.250  0.156
Li  0.367  0.750  0.656
Li  0.633  0.250  0.344
Li  0.867  0.750  0.844
V  0.000  0.000  0.500
V  0.000  0.500  0.500
V  0.500  0.000  0.000
V  0.500  0.500  0.000
P  0.145  0.750  0.168
P  0.355  0.250  0.668
P  0.645  0.750  0.332
P  0.855  0.250  0.832
O  0.017  0.750  0.027
O  0.109  0.750  0.591
O  0.139  0.538  0.285
O  0.139  0.962  0.285
O  0.162  0.250  0.590
O  0.338  0.750  0.090
O  0.361  0.038  0.785
O  0.361  0.462  0.785
O  0.391  0.250  0.091
O  0.483  0.250  0.527
O  0.517  0.750  0.473
O  0.609  0.750  0.909
O  0.639  0.538  0.215
O  0.639  0.962  0.215
O  0.662  0.250  0.910
O  0.838  0.750  0.410
O  0.861  0.038  0.715
O  0.861  0.462  0.715
O  0.891  0.250  0.409
O  0.983  0.250  0.973

---

[4]
Computed, not measured: a relaxed Li7V8P12O48 crystal at the GGA+U level of DFT.

Output
- E_tot: -543.5 eV per cell
- M_tot: 0.15 μB/atom
- Symmetry: P1, No. 1

Unit cell a=8.619 b=8.717 c=12.123 alpha=90.27 beta=90.35 gamma=90.56
Atoms (fractional coordinates):
Li  0.000  0.000  0.000
Li  0.010  0.055  0.634
Li  0.067  0.551  0.504
Li  0.078  0.496  0.139
Li  0.502  0.060  0.496
Li  0.567  0.501  0.007
Li  0.579  0.561  0.638
V  0.036  0.242  0.434
V  0.037  0.813  0.206
V  0.040  0.745  0.705
V  0.045  0.317  0.930
V  0.535  0.241  0.708
V  0.539  0.815  0.937
V  0.541  0.302  0.204
V  0.542  0.743  0.427
P  0.183  0.174  0.172
P  0.184  0.881  0.464
P  0.251  0.028  0.820
P  0.329  0.528  0.818
P  0.395  0.667  0.173
P  0.398  0.382  0.465
P  0.680  0.885  0.671
P  0.687  0.173  0.964
P  0.752  0.028  0.316
P  0.824  0.530  0.317
P  0.892  0.383  0.674
P  0.897  0.672  0.966
O  0.110  0.761  0.540
O  0.122  0.225  0.283
O  0.124  0.291  0.084
O  0.129  0.009  0.140
O  0.131  0.044  0.494
O  0.134  0.114  0.895
O  0.134  0.839  0.343
O  0.154  0.944  0.731
O  0.215  0.675  0.165
O  0.219  0.389  0.469
O  0.228  0.407  0.882
O  0.230  0.629  0.746
O  0.347  0.924  0.893
O  0.352  0.147  0.757
O  0.363  0.183  0.169
O  0.363  0.877  0.473
O  0.426  0.610  0.907
O  0.441  0.706  0.295
O  0.442  0.499  0.148
O  0.443  0.442  0.741
O  0.454  0.263  0.554
O  0.458  0.321  0.355
O  0.465  0.543  0.495
O  0.475  0.780  0.097
O  0.609  0.289  0.045
O  0.617  0.047  0.643
O  0.618  0.822  0.779
O  0.620  0.770  0.579
O  0.628  0.943  0.388
O  0.638  0.222  0.847
O  0.650  0.005  0.987
O  0.662  0.123  0.230
O  0.712  0.372  0.661
O  0.719  0.425  0.246
O  0.720  0.663  0.973
O  0.731  0.650  0.381
O  0.845  0.129  0.395
O  0.852  0.914  0.251
O  0.858  0.892  0.666
O  0.867  0.192  0.977
O  0.924  0.444  0.401
O  0.938  0.345  0.793
O  0.938  0.613  0.236
O  0.939  0.548  0.643
O  0.952  0.731  0.854
O  0.961  0.791  0.053
O  0.965  0.512  0.995
O  0.970  0.266  0.597